1.
Computed, not measured: a geometry-optimized La3PrNd2 structure at the PBE level of DFT.

Summary:
SG	P-3m1
V	36.3	Å³/atom
raw total energy	-4.736	eV per atom
offset from the most stable computed form	0.0	meV per atom
energy relative to the elements	0.11	eV/atom

a = 3.5963 Å, b = 11.8230 Å, c = 11.8230 Å
α = 120.00°, β = 90.00°, γ = 90.00°
Atoms (fractional coordinates):
La  0.7478  0.3270  0.1635
La  0.7478  0.8365  0.6730
La  0.7478  0.8365  0.1635
La  0.2522  0.1635  0.8365
La  0.2522  0.6730  0.8365
La  0.2522  0.1635  0.3270
Pr  0.4200  0.6667  0.3333
Pr  0.5800  0.3333  0.6667
Nd  0.0000  0.0000  0.0000
Nd  0.0000  0.5000  0.5000
Nd  0.0000  0.5000  0.0000
Nd  0.0000  0.0000  0.5000

***

2.
Computed, not measured: a geometry-optimized La2PrNd2 structure at the PBE level of DFT.

Summary:
SG	P2/m
V	36.0	Å³/atom
raw total energy	-4.786	eV per atom
offset from the most stable computed form	0.0	meV per atom
energy relative to the elements	0.05	eV/atom

a = 3.6120 Å, b = 5.6575 Å, c = 9.2636 Å
α = 107.89°, β = 90.00°, γ = 90.00°
Atoms (fractional coordinates):
La  0.0000  0.8010  0.6024
La  0.0000  0.1990  0.3976
Pr  0.0000  0.0000  0.0000
Nd  0.5000  0.3971  0.7946
Nd  0.5000  0.6029  0.2054

***

3.
Computed, not measured: a geometry-optimized La2PrNd2 structure at the PBE level of DFT.

Summary:
SG	C2/c
V	36.2	Å³/atom
raw total energy	-4.736	eV per atom
offset from the most stable computed form	50.0	meV per atom
energy relative to the elements	0.10	eV/atom

a = 6.4611 Å, b = 6.4611 Å, c = 9.8120 Å
α = 111.50°, β = 99.82°, γ = 100.63°
Atoms (fractional coordinates):
La  0.4511  0.3656  0.1475
La  0.2181  0.8036  0.3525
La  0.5489  0.6344  0.8525
La  0.7819  0.1964  0.6475
Pr  0.7221  0.9721  0.2500
Pr  0.2779  0.0279  0.7500
Nd  0.8990  0.2490  0.0216
Nd  0.2274  0.3774  0.4784
Nd  0.1010  0.7510  0.9784
Nd  0.7726  0.6226  0.5216

***

4.
Computed, not measured: a geometry-optimized LaPr6Nd2 structure at the PBE level of DFT.

Summary:
SG	P-31m
V	36.1	Å³/atom
raw total energy	-4.667	eV per atom
offset from the most stable computed form	81.3	meV per atom
energy relative to the elements	0.13	eV/atom

a = 3.5217 Å, b = 10.3172 Å, c = 10.3172 Å
α = 120.00°, β = 90.00°, γ = 90.00°
Site moments in Bohr magnetons follow the coordinates.
Atoms (fractional coordinates):
La  0.0000  0.0000  0.0000  0.11
Pr  0.2271  0.0000  0.3388  0.00
Pr  0.2271  0.6612  0.6612  0.00
Pr  0.7729  0.0000  0.6612  0.00
Pr  0.7729  0.6612  0.0000  0.00
Pr  0.7729  0.3388  0.3388  0.00
Pr  0.2271  0.3388  0.0000  0.00
Nd  0.5000  0.6667  0.3333  -0.01
Nd  0.5000  0.3333  0.6667  -0.01

***

5.
Computed, not measured: a geometry-optimized LaPr3Nd2 structure at the PBE level of DFT.

Summary:
SG	P-3m1
V	36.1	Å³/atom
raw total energy	-4.791	eV per atom
offset from the most stable computed form	0.0	meV per atom
energy relative to the elements	0.01	eV/atom

a = 9.0875 Å, b = 7.4198 Å, c = 7.4198 Å
α = 120.00°, β = 90.00°, γ = 90.00°
Atoms (fractional coordinates):
La  0.3315  0.6667  0.3333
La  0.6685  0.3333  0.6667
Pr  0.6680  0.3336  0.1668
Pr  0.6680  0.8332  0.6664
Pr  0.6680  0.8332  0.1668
Pr  0.3320  0.1668  0.8332
Pr  0.3320  0.6664  0.8332
Pr  0.3320  0.1668  0.3336
Nd  0.0000  0.0000  0.0000
Nd  0.0000  0.5000  0.5000
Nd  0.0000  0.5000  0.0000
Nd  0.0000  0.0000  0.5000

***

6.
Computed, not measured: a geometry-optimized La6Pr3Nd2 structure at the PBE level of DFT.

Summary:
SG	I4/mmm
V	37.3	Å³/atom
raw total energy	-4.621	eV per atom
offset from the most stable computed form	223.6	meV per atom
energy relative to the elements	0.24	eV/atom

a = 4.8340 Å, b = 4.8340 Å, c = 17.8898 Å
α = 97.76°, β = 97.76°, γ = 90.00°
Atoms (fractional coordinates):
La  0.1178  0.6178  0.2357
La  0.6178  0.1178  0.2357
La  0.8822  0.3822  0.7643
La  0.3822  0.8822  0.7643
La  0.7109  0.7109  0.4218
La  0.2891  0.2891  0.5782
Pr  0.0000  0.0000  0.0000
Pr  0.8098  0.8098  0.6197
Pr  0.1902  0.1902  0.3803
Nd  0.4557  0.4557  0.9115
Nd  0.5443  0.5443  0.0885

***

7.
Computed, not measured: a geometry-optimized La7PrNd2 structure at the PBE level of DFT.

Summary:
SG	Cmmm
V	41.9	Å³/atom
raw total energy	-4.338	eV per atom
offset from the most stable computed form	367.7	meV per atom
energy relative to the elements	0.54	eV/atom

a = 5.6794 Å, b = 9.3159 Å, c = 9.3159 Å
α = 121.74°, β = 90.00°, γ = 90.00°
Site moments in Bohr magnetons follow the coordinates.
Atoms (fractional coordinates):
La  0.0000  0.7574  0.2426  0.00
La  0.0000  0.2426  0.7574  0.00
La  0.5000  0.0723  0.3017  0.01
La  0.5000  0.9277  0.6983  0.01
La  0.5000  0.3017  0.0723  0.01
La  0.5000  0.6983  0.9277  0.01
La  0.5000  0.5000  0.5000  0.00
Pr  0.0000  0.0000  0.0000  0.05
Nd  0.5000  0.7000  0.3000  0.00
Nd  0.5000  0.3000  0.7000  0.00

***

8.
Computed, not measured: a geometry-optimized La6PrNd2 structure at the PBE level of DFT.

Summary:
SG	P-1
V	36.3	Å³/atom
raw total energy	-4.865	eV per atom
offset from the most stable computed form	0.0	meV per atom
energy relative to the elements	0.01	eV/atom

a = 8.2857 Å, b = 8.3021 Å, c = 11.1506 Å
α = 103.16°, β = 116.16°, γ = 95.67°
Atoms (fractional coordinates):
La  0.4175  0.1644  0.4156
La  0.7491  0.5017  0.0832
La  0.5825  0.8356  0.5844
La  0.2509  0.4983  0.9168
La  0.5839  0.8316  0.9163
La  0.2503  0.5019  0.5850
La  0.4161  0.1684  0.0837
La  0.7497  0.4981  0.4150
La  0.0833  0.8344  0.0837
La  0.0838  0.8310  0.4152
La  0.9167  0.1656  0.9163
La  0.9162  0.1690  0.5848
Pr  0.9173  0.1668  0.2506
Pr  0.0827  0.8332  0.7494
Nd  0.2507  0.5003  0.2506
Nd  0.5836  0.8332  0.2506
Nd  0.7493  0.4997  0.7494
Nd  0.4164  0.1668  0.7494

***

no.,total magnetic moment (μB/f.u.)
1,0.0
2,0.0
3,0.0
4,0.2
5,0.0
6,0.0
7,0.3
8,0.0